Entry 1:
Material: Nb6GeS
Method: DFT, PBE
State: optimized geometry

abc: 5.8600 5.8600 15.2621
angles: 90.00 90.00 120.00
Space group R-3 (No. 148, hexagonal axes)
Asymmetric unit:
1 Nb 0.0180 0.7331 0.2491 (multiplicity 18)
2 Ge 0.0000 0.0000 0.0000 (multiplicity 3)
3 S 0.0000 0.0000 0.5000 (multiplicity 3)

Properties
- V (Å³ per cell) = 453.9


Entry 2:
Material: NbGeS2
Method: DFT, PBE
State: optimized geometry

abc: 6.070 6.070 10.427
angles: 90.00 90.00 90.00
Space group I-42d (No. 122)
Asymmetric unit:
1 Nb 0.000 0.000 0.000 (multiplicity 4)
2 Ge 0.000 0.000 0.500 (multiplicity 4)
3 S 0.217 0.250 0.125 (multiplicity 8)

Properties
- V (Å³ per cell) = 384.2


Entry 3:
Material: NbGeS3
Method: DFT, PBE
State: optimized geometry

abc: 4.610 4.610 4.610
angles: 90.00 90.00 90.00
Space group Pm-3m (No. 221)
Asymmetric unit:
1 Nb 0.000 0.000 0.000 (multiplicity 1)
2 Ge 0.500 0.500 0.500 (multiplicity 1)
3 S 0.000 0.500 0.500 (multiplicity 3)

Properties
- V (Å³ per cell) = 98.0
- E above lowest polymorph (eV per formula unit) = 5.89


Entry 4:
Material: NbGeS3
Method: DFT, PBE
State: optimized geometry

abc: 3.727 21.088 6.660
angles: 90.00 90.00 90.00
Space group Cmc2_1 (No. 36)
Asymmetric unit:
1 Nb 0.000 0.117 0.000 (multiplicity 4)
2 Ge 0.000 0.341 0.064 (multiplicity 4)
3 S 0.000 0.112 0.354 (multiplicity 4)
4 S 0.000 0.213 0.853 (multiplicity 4)
5 S 0.000 0.430 0.327 (multiplicity 4)

Properties
- V (Å³ per cell) = 523.5
- E above lowest polymorph (eV per formula unit) = 1.20


Entry 5:
Material: Nb2GeSbS
Method: DFT, PBE
State: optimized geometry

abc: 4.985 4.985 4.411
angles: 90.00 90.00 90.00
Space group P4/mmm (No. 123)
Asymmetric unit:
1 Nb 0.000 0.500 0.000 (multiplicity 2)
2 Ge 0.000 0.000 0.000 (multiplicity 1)
3 Sb 0.500 0.500 0.500 (multiplicity 1)
4 S 0.000 0.000 0.500 (multiplicity 1)

Properties
- V (Å³ per cell) = 109.6


Entry 6:
Material: Nb2ZnGeS
Method: DFT, PBE
State: optimized geometry

abc: 4.639 4.639 4.378
angles: 90.00 90.00 90.00
Space group P4/mmm (No. 123)
Asymmetric unit:
1 Nb 0.000 0.500 0.000 (multiplicity 2)
2 Zn 0.000 0.000 0.500 (multiplicity 1)
3 Ge 0.500 0.500 0.500 (multiplicity 1)
4 S 0.000 0.000 0.000 (multiplicity 1)

Properties
- V (Å³ per cell) = 94.2


no.,formation energy from raw total energies (eV/atom)
1,0.019
2,-0.066
3,0.502
4,-0.435
5,0.803
6,0.368